DFT (PBE-GGA) results for a geometry-optimized Pm4Hg2H structure.

Unit cell a=7.030 b=6.944 c=8.094 alpha=90.00 beta=105.67 gamma=90.00
Atoms (fractional coordinates):
1 Pm 0.537 0.507 0.270
2 Pm 0.120 0.750 0.923
3 Pm 0.880 0.250 0.077
4 Pm 0.537 0.993 0.270
5 Pm 0.915 0.250 0.617
6 Pm 0.463 0.007 0.730
7 Pm 0.463 0.493 0.730
8 Pm 0.085 0.750 0.383
9 Hg 0.729 0.750 0.028
10 Hg 0.271 0.250 0.972
11 Hg 0.238 0.250 0.402
12 Hg 0.762 0.750 0.598
13 H 0.295 0.750 0.206
14 H 0.705 0.250 0.794

Calculated values
space-group type	P2_1/m (11)

DFT (PBE-GGA) results for a geometry-optimized Pr3HgH structure.

Unit cell a=3.818 b=8.541 c=11.652 alpha=110.49 beta=80.76 gamma=131.99
Atoms (fractional coordinates):
1 Pr 0.111 0.279 0.616
2 Pr 0.025 0.383 0.096
3 Pr 0.139 0.033 0.820
4 Pr 0.889 0.721 0.384
5 Pr 0.861 0.967 0.180
6 Pr 0.975 0.617 0.904
7 Hg 0.256 0.710 0.618
8 Hg 0.744 0.290 0.382
9 H 0.050 0.317 0.850
10 H 0.950 0.683 0.150

Calculated values
space-group type	P-1 (2)

What energy above the lowest structure with this stoichiometry values result from the calculations? In sequence: 0.000 0.012 eV per atom.
What D(E_F) values result from the calculations? In sequence: 13.665 7.412 states/eV per cell.